[1]
DFT (PBE) results for Cs4Tl3Cd2 after structural relaxation.

Cell: 10.4593 10.4593 8.9200 Å, 104.47 104.47 28.75°
Last column: nearest neighbours and their distance in Å.
Positions (direct):
1 Cs 0.0788 0.0788 0.3915  2 Cd 3.81-4.05, 1 Cs 4.14, 2 Tl 4.17
2 Cs 0.2625 0.2625 0.8036  3 Cd 4.13-4.25, 3 Tl 4.14-4.18, 3 Cs 4.49-4.51
3 Cs 0.7375 0.7375 0.1964  3 Cd 4.13-4.25, 3 Tl 4.14-4.18, 3 Cs 4.49-4.51
4 Cs 0.9212 0.9212 0.6085  2 Cd 3.81-4.05, 1 Cs 4.14, 2 Tl 4.17
5 Tl 0.4026 0.4026 0.2337  2 Cd 3.08, 1 Tl 3.22
6 Tl 0.5000 0.5000 0.0000  4 Cd 3.21, 2 Tl 3.22
7 Tl 0.5974 0.5974 0.7663  2 Cd 3.08, 1 Tl 3.22
8 Cd 0.0828 0.0828 0.9405  4 Tl 3.08-3.21
9 Cd 0.9172 0.9172 0.0595  4 Tl 3.08-3.21

Properties
E_form = -0.06 eV per atom
space group = No. 12
density of states at the Fermi level = 6.09 states/eV/cell
E_tot = -12.892 eV per formula unit



[2]
DFT (PBE) results for Cs3TlCd6 after structural relaxation.

Cell: 7.7337 7.7337 7.8870 Å, 108.16 108.16 56.73°
Last column: nearest neighbours and their distance in Å.
Positions (direct):
1 Cs 0.0000 0.0000 0.0000  6 Cd 3.69-3.99, 2 Tl 3.94
2 Cs 0.4957 0.4957 0.2556  5 Cd 3.75-4.10, 2 Cs 3.81-4.08, 2 Tl 4.14
3 Cs 0.5043 0.5043 0.7444  5 Cd 3.75-4.10, 2 Cs 3.81-4.08, 2 Tl 4.14
4 Tl 0.0000 0.0000 0.5000  2 Cd 3.17
5 Cd 0.0348 0.4413 0.8050  4 Cd 2.99-3.17
6 Cd 0.2184 0.2184 0.4406  4 Cd 3.11-3.17, 1 Tl 3.17
7 Cd 0.4413 0.0348 0.8050  4 Cd 2.99-3.17
8 Cd 0.5587 0.9652 0.1950  4 Cd 2.99-3.17
9 Cd 0.7816 0.7816 0.5594  4 Cd 3.11-3.17, 1 Tl 3.17
10 Cd 0.9652 0.5587 0.1950  4 Cd 2.99-3.17

Properties
E_form = 0.01 eV per atom
space group = No. 12
density of states at the Fermi level = 6.30 states/eV/cell
E_tot = -10.306 eV per formula unit



[3]
DFT (PBE) results for Cs2TlCd5 after structural relaxation.

Cell: 9.9571 9.9571 10.8813 Å, 90.00 90.00 147.79°
Last column: nearest neighbours and their distance in Å.
Positions (direct):
1 Cs 0.0000 0.0000 0.0000  6 Cd 3.84-4.08, 4 Tl 4.04
2 Cs 0.0000 0.0000 0.5000  6 Cd 3.84-4.08, 4 Tl 4.04
3 Cs 0.1967 0.8033 0.7500  2 Tl 3.80, 13 Cd 3.81-3.96
4 Cs 0.8033 0.1967 0.2500  2 Tl 3.80, 13 Cd 3.81-3.96
5 Tl 0.4396 0.5604 0.2500  3 Cd 3.09-3.22
6 Tl 0.5604 0.4396 0.7500  3 Cd 3.09-3.22
7 Cd 0.1902 0.8098 0.1126  4 Cd 2.99-3.14
8 Cd 0.1902 0.8098 0.3874  4 Cd 2.99-3.14
9 Cd 0.3432 0.6568 0.0074  4 Cd 3.00-3.14, 1 Tl 3.22
10 Cd 0.3432 0.6568 0.4926  4 Cd 3.00-3.14, 1 Tl 3.22
11 Cd 0.3990 0.6010 0.7500  2 Cd 3.00, 1 Tl 3.09
12 Cd 0.6010 0.3990 0.2500  2 Cd 3.00, 1 Tl 3.09
13 Cd 0.6568 0.3432 0.5074  4 Cd 3.00-3.14, 1 Tl 3.22
14 Cd 0.6568 0.3432 0.9926  4 Cd 3.00-3.14, 1 Tl 3.22
15 Cd 0.8098 0.1902 0.6126  4 Cd 2.99-3.14
16 Cd 0.8098 0.1902 0.8874  4 Cd 2.99-3.14

Properties
E_form = -0.02 eV per atom
space group = No. 63
density of states at the Fermi level = 9.64 states/eV/cell
E_tot = -8.808 eV per formula unit



[4]
DFT (PBE) results for Cs2TlCd4 after structural relaxation.

Cell: 7.6773 6.5435 10.4955 Å, 90.00 100.06 90.00°
Last column: nearest neighbours and their distance in Å.
Positions (direct):
1 Cs 0.1626 0.2500 0.2735  5 Cd 3.72-4.04, 2 Tl 4.03, 1 Cs 4.11
2 Cs 0.3085 0.7500 0.5688  5 Cd 3.86-4.19, 3 Tl 3.97-4.19, 2 Cs 4.11-4.23
3 Cs 0.6915 0.2500 0.4312  5 Cd 3.86-4.19, 3 Tl 3.97-4.19, 2 Cs 4.11-4.23
4 Cs 0.8374 0.7500 0.7265  5 Cd 3.72-4.04, 2 Tl 4.03, 1 Cs 4.11
5 Tl 0.4498 0.7500 0.2221  6 Cd 3.14-3.37
6 Tl 0.5502 0.2500 0.7779  6 Cd 3.14-3.37
7 Cd 0.0484 0.7500 0.0738  5 Cd 3.00-3.21, 1 Tl 3.20
8 Cd 0.1367 0.2500 0.6975  3 Cd 3.00-3.15, 1 Tl 3.14
9 Cd 0.3088 0.5103 0.9392  5 Cd 2.99-3.21, 1 Tl 3.21
10 Cd 0.3088 0.9897 0.9392  5 Cd 2.99-3.21, 1 Tl 3.21
11 Cd 0.6912 0.0103 0.0608  5 Cd 2.99-3.21, 1 Tl 3.21
12 Cd 0.6912 0.4897 0.0608  5 Cd 2.99-3.21, 1 Tl 3.21
13 Cd 0.8633 0.7500 0.3025  3 Cd 3.00-3.15, 1 Tl 3.14
14 Cd 0.9516 0.2500 0.9262  5 Cd 3.00-3.21, 1 Tl 3.20

Properties
E_form = -0.05 eV per atom
space group = No. 11
density of states at the Fermi level = 7.87 states/eV/cell
E_tot = -8.119 eV per formula unit